1.
Density functional theory data (PBE) for a relaxed Y3HfSb4 crystal.

Calculated values
The value obtained for the density of states at the Fermi level is 0.1593 states/eV/atom. The value obtained for the total energy is -6.70 eV/atom. The uncorrected formation energy comes out at -965.7 meV per atom. For the volume, the calculation gives 226.3 Å³/f.u.

Cell lengths 7.4660, 8.6382, 7.4474 Å; angles 90.00, 109.56, 90.00 degrees
Closest atoms and distances in Å follow each position.
Space group P2/c (No. 13)
Symmetry-distinct sites (fractional):
Y (0.0000, 0.1253, 0.2500) [2 per cell]  6 Sb 3.04-3.13
Y (0.0000, 0.3749, 0.7500) [2 per cell]  6 Sb 3.05-3.13
Y (0.5000, 0.1252, 0.7500) [2 per cell]  6 Sb 3.05
Hf (0.5000, 0.3743, 0.2500) [2 per cell]  6 Sb 2.96-2.97
Sb (0.2563, 0.1319, 0.0068) [4 per cell]  1 Hf 2.96, 5 Y 3.04-3.13
Sb (0.2631, 0.3819, 0.4998) [4 per cell]  2 Hf 2.97, 4 Y 3.05-3.13



2.
Density functional theory data (PBE) for a relaxed ZnCdO3 crystal.

Calculated values
The value obtained for the density of states at the Fermi level is 0.6222 states/eV/atom. The value obtained for the total energy is -3.79 eV/atom. The uncorrected formation energy comes out at -380.2 meV per atom. For the volume, the calculation gives 56.4 Å³/f.u.

Cell lengths 3.8343, 3.8343, 3.8343 Å; angles 90.00, 90.00, 90.00 degrees
Closest atoms and distances in Å follow each position.
Space group Pm-3m (No. 221)
Symmetry-distinct sites (fractional):
Zn (0.0000, 0.0000, 0.0000) [1 per cell]  6 O 1.92
Cd (0.5000, 0.5000, 0.5000) [1 per cell]  12 O 2.71
O (0.0000, 0.0000, 0.5000) [3 per cell]  2 Zn 1.92



3.
Density functional theory data (PBE) for a relaxed Dy2ErN3 crystal.

Calculated values
The value obtained for the density of states at the Fermi level is 0.0450 states/eV/atom. The value obtained for the total energy is -8.19 eV/atom. The uncorrected formation energy comes out at -1729.5 meV per atom. For the volume, the calculation gives 87.8 Å³/f.u.

Cell lengths 6.9176, 4.8905, 10.3782 Å; angles 90.00, 90.00, 90.00 degrees
Closest atoms and distances in Å follow each position.
Space group Pnma (No. 62)
Symmetry-distinct sites (fractional):
Dy (0.1251, 0.2500, 0.2497) [4 per cell]  6 N 2.44-2.47
Dy (0.1256, 0.2500, 0.5834) [4 per cell]  6 N 2.44-2.45
Er (0.1247, 0.2500, 0.9170) [4 per cell]  6 N 2.43-2.45
N (0.1233, 0.7500, 0.9173) [4 per cell]  3 Er 2.43-2.45, 3 Dy 2.44-2.46
N (0.1254, 0.7500, 0.2504) [4 per cell]  4 Dy 2.44-2.45, 2 Er 2.44-2.45
N (0.1275, 0.7500, 0.5823) [4 per cell]  1 Er 2.43, 5 Dy 2.44-2.47



4.
Density functional theory data (PBE) for a relaxed Pr2PaNi4Ge3 crystal.

Calculated values
The value obtained for the density of states at the Fermi level is 0.8137 states/eV/atom. As for the formation energy: -0.587 eV/atom. The value obtained for the total energy is -6.19 eV/atom. For the volume, the calculation gives 184.6 Å³/f.u.

Cell lengths 4.2677, 4.2677, 10.1352 Å; angles 90.00, 90.00, 90.00 degrees
Closest atoms and distances in Å follow each position.
Space group P-4m2 (No. 115)
Symmetry-distinct sites (fractional):
Pr (0.0000, 0.5000, 0.2221) [2 per cell]  8 Ni 3.10-3.30, 5 Ge 3.19-3.45
Pa (0.0000, 0.0000, 0.5000) [1 per cell]  4 Ni 2.60
Ni (0.0000, 0.0000, 0.0000) [1 per cell]  4 Ge 2.45
Ni (0.0000, 0.5000, 0.6462) [2 per cell]  3 Ge 2.38-2.60, 2 Pa 2.60
Ni (0.5000, 0.5000, 0.0000) [1 per cell]  4 Ge 2.45
Ge (0.0000, 0.5000, 0.8813) [2 per cell]  5 Ni 2.38-2.45
Ge (0.5000, 0.5000, 0.5000) [1 per cell]  4 Ni 2.60



What is the formula in the third record?
Dy2ErN3



Repeat the third record exactly.
Density functional theory data (PBE) for a relaxed Dy2ErN3 crystal.

Calculated values
The value obtained for the density of states at the Fermi level is 0.0450 states/eV/atom. The value obtained for the total energy is -8.19 eV/atom. The uncorrected formation energy comes out at -1729.5 meV per atom. For the volume, the calculation gives 87.8 Å³/f.u.

Cell lengths 6.9176, 4.8905, 10.3782 Å; angles 90.00, 90.00, 90.00 degrees
Closest atoms and distances in Å follow each position.
Space group Pnma (No. 62)
Symmetry-distinct sites (fractional):
Dy (0.1251, 0.2500, 0.2497) [4 per cell]  6 N 2.44-2.47
Dy (0.1256, 0.2500, 0.5834) [4 per cell]  6 N 2.44-2.45
Er (0.1247, 0.2500, 0.9170) [4 per cell]  6 N 2.43-2.45
N (0.1233, 0.7500, 0.9173) [4 per cell]  3 Er 2.43-2.45, 3 Dy 2.44-2.46
N (0.1254, 0.7500, 0.2504) [4 per cell]  4 Dy 2.44-2.45, 2 Er 2.44-2.45
N (0.1275, 0.7500, 0.5823) [4 per cell]  1 Er 2.43, 5 Dy 2.44-2.47